Record 1
Below is KMgNbPt after structural relaxation, with properties calculated at the PBE level.

Computed properties:
Magnetization = 0.008 μB/cell
Distance to the lowest polymorph of the same formula = 0.235 eV per atom
E_tot = -4.055 eV per atom

Lattice parameters (Å, degrees): 4.920 4.920 4.920 60.00 60.00 60.00
Element x y z (fractional)
1 K 0.000 0.000 0.000
2 Mg 0.750 0.750 0.750
3 Nb 0.500 0.500 0.500
4 Pt 0.250 0.250 0.250


Record 2
Below is KMgNbPt after structural relaxation, with properties calculated at the PBE level.

Computed properties:
Magnetization = 0.001 μB/cell
Distance to the lowest polymorph of the same formula = 0.000 eV per atom
E_tot = -4.291 eV per atom

Lattice parameters (Å, degrees): 4.773 4.773 4.773 60.00 60.00 60.00
Element x y z (fractional)
1 K 0.000 0.000 0.000
2 Mg 0.250 0.250 0.250
3 Nb 0.750 0.750 0.750
4 Pt 0.500 0.500 0.500


Record 3
Below is KMgNbPt after structural relaxation, with properties calculated at the PBE level.

Computed properties:
Magnetization = 3.668 μB/cell
Distance to the lowest polymorph of the same formula = 0.444 eV per atom
E_tot = -3.847 eV per atom

Lattice parameters (Å, degrees): 4.981 4.981 4.981 60.00 60.00 60.00
Element x y z (fractional)
1 K 0.000 0.000 0.000
2 Mg 0.500 0.500 0.500
3 Nb 0.250 0.250 0.250
4 Pt 0.750 0.750 0.750


Please write out number 1 again, unchanged.
Below is KMgNbPt after structural relaxation, with properties calculated at the PBE level.

Computed properties:
Magnetization = 0.008 μB/cell
Distance to the lowest polymorph of the same formula = 0.235 eV per atom
E_tot = -4.055 eV per atom

Lattice parameters (Å, degrees): 4.920 4.920 4.920 60.00 60.00 60.00
Element x y z (fractional)
1 K 0.000 0.000 0.000
2 Mg 0.750 0.750 0.750
3 Nb 0.500 0.500 0.500
4 Pt 0.250 0.250 0.250


The lowest magnetization belongs to which entry?
number 2


The lowest E_tot belongs to which entry?
number 2


Among the records above, which one has the lowest E_tot?
number 2